(i)
A relaxed TaCuPS2 crystal, computed with PBE-GGA.

abc: 4.7403 4.7403 4.8919
angles: 90.00 90.00 90.00
With the nearest neighbours (Å) after each atom.
Atoms (fractional coordinates):
Cu  0.5000  0.5000  0.5000  4 P 3.35, 8 S 3.41
Ta  0.0000  0.0000  0.0000  4 S 2.37, 2 P 2.45
S  0.5000  0.0000  0.0000  2 Ta 2.37
S  0.0000  0.5000  0.0000  2 Ta 2.37
P  0.0000  0.0000  0.5000  2 Ta 2.45

---

(ii)
A relaxed TaCuPS2 crystal, computed with PBE-GGA.

abc: 4.3714 4.3714 4.4626
angles: 90.00 90.00 90.00
With the nearest neighbours (Å) after each atom.
Atoms (fractional coordinates):
Ta  0.5000  0.5000  0.5000  4 P 3.09, 8 S 3.12
P  0.0000  0.0000  0.5000  2 Cu 2.23
S  0.0000  0.5000  0.0000  2 Cu 2.19
S  0.5000  0.0000  0.0000  2 Cu 2.19
Cu  0.0000  0.0000  0.0000  4 S 2.19, 2 P 2.23

---

Energies relative to the most stable structure are (i) 0; (ii) 545, reported in meV per atom.

---

(i)
A relaxed TaCuP2S crystal, computed with PBE-GGA.

abc: 4.8452 4.8452 4.6956
angles: 90.00 90.00 90.00
With the nearest neighbours (Å) after each atom.
Atoms (fractional coordinates):
Cu  0.5000  0.5000  0.5000  8 P 3.37, 4 S 3.43
S  0.0000  0.0000  0.5000  2 Ta 2.35
P  0.0000  0.5000  0.0000  2 Ta 2.42
P  0.5000  0.0000  0.0000  2 Ta 2.42
Ta  0.0000  0.0000  0.0000  2 S 2.35, 4 P 2.42

---

(ii)
A relaxed TaCuP2S crystal, computed with PBE-GGA.

abc: 4.3777 4.3777 4.4314
angles: 90.00 90.00 90.00
With the nearest neighbours (Å) after each atom.
Atoms (fractional coordinates):
Ta  0.5000  0.5000  0.5000  4 S 3.10, 8 P 3.11
S  0.0000  0.0000  0.5000  2 Cu 2.22
P  0.0000  0.5000  0.0000  2 Cu 2.19
P  0.5000  0.0000  0.0000  2 Cu 2.19
Cu  0.0000  0.0000  0.0000  4 P 2.19, 2 S 2.22

---

Energies relative to the most stable structure are (i) 0; (ii) 399, reported in meV per atom.

---

(i)
A relaxed CuTePS2 crystal, computed with PBE-GGA.

abc: 4.5577 4.5577 4.5588
angles: 90.00 90.00 90.00
With the nearest neighbours (Å) after each atom.
Atoms (fractional coordinates):
Cu  0.0000  0.0000  0.0000  4 S 2.28, 2 P 2.28
S  0.0000  0.5000  0.0000  2 Cu 2.28
P  0.0000  0.0000  0.5000  2 Cu 2.28
S  0.5000  0.0000  0.0000  2 Cu 2.28
Te  0.5000  0.5000  0.5000  4 P 3.22, 8 S 3.22

---

(ii)
A relaxed CuTePS2 crystal, computed with PBE-GGA.

abc: 5.1686 4.7728 5.1686
angles: 90.00 90.00 90.00
With the nearest neighbours (Å) after each atom.
Atoms (fractional coordinates):
S  0.0000  0.0000  0.5000  2 Te 2.58
Cu  0.0000  0.5000  0.0000  2 Te 2.39
P  0.5000  0.5000  0.5000  8 S 3.52, 4 Cu 3.65
Te  0.0000  0.0000  0.0000  2 Cu 2.39, 4 S 2.58
S  0.5000  0.0000  0.0000  2 Te 2.58

---

Energies relative to the most stable structure are (i) 0; (ii) 513, reported in meV per atom.

---

(i)
A relaxed TiCuP2S crystal, computed with PBE-GGA.

abc: 4.4027 4.4027 4.5639
angles: 90.00 90.00 90.00
With the nearest neighbours (Å) after each atom.
Atoms (fractional coordinates):
S  0.0000  0.0000  0.5000  2 Cu 2.28
P  0.0000  0.5000  0.0000  2 Cu 2.20
Cu  0.0000  0.0000  0.0000  4 P 2.20, 2 S 2.28
P  0.5000  0.0000  0.0000  2 Cu 2.20
Ti  0.5000  0.5000  0.5000  4 S 3.11, 8 P 3.17

---

(ii)
A relaxed TiCuP2S crystal, computed with PBE-GGA.

abc: 4.5638 4.3943 4.5638
angles: 90.00 90.00 90.00
With the nearest neighbours (Å) after each atom.
Atoms (fractional coordinates):
P  0.0000  0.0000  0.5000  2 S 2.28
P  0.5000  0.0000  0.0000  2 S 2.28
Cu  0.5000  0.5000  0.5000  8 P 3.17, 4 Ti 3.23
S  0.0000  0.0000  0.0000  2 Ti 2.20, 4 P 2.28
Ti  0.0000  0.5000  0.0000  2 S 2.20

---

(iii)
A relaxed TiCuP2S crystal, computed with PBE-GGA.

abc: 4.7041 4.7041 4.6135
angles: 90.00 90.00 90.00
With the nearest neighbours (Å) after each atom.
Atoms (fractional coordinates):
P  0.0000  0.5000  0.0000  2 Ti 2.35
S  0.0000  0.0000  0.5000  2 Ti 2.31
Ti  0.0000  0.0000  0.0000  2 S 2.31, 4 P 2.35
P  0.5000  0.0000  0.0000  2 Ti 2.35
Cu  0.5000  0.5000  0.5000  8 P 3.29, 4 S 3.33

---

Energies relative to the most stable structure are (i) 188; (ii) 315; (iii) 0, reported in meV per atom.

---

(i)
A relaxed TlCuP2S crystal, computed with PBE-GGA.

abc: 4.5734 4.5734 4.9134
angles: 90.00 90.00 90.00
With the nearest neighbours (Å) after each atom.
Atoms (fractional coordinates):
Cu  0.0000  0.0000  0.0000  4 P 2.29, 2 S 2.46
P  0.5000  0.0000  0.0000  2 Cu 2.29
Tl  0.5000  0.5000  0.5000  4 S 3.23, 8 P 3.36
P  0.0000  0.5000  0.0000  2 Cu 2.29
S  0.0000  0.0000  0.5000  2 Cu 2.46

---

(ii)
A relaxed TlCuP2S crystal, computed with PBE-GGA.

abc: 5.1543 5.1543 5.1681
angles: 90.00 90.00 90.00
With the nearest neighbours (Å) after each atom.
Atoms (fractional coordinates):
P  0.5000  0.0000  0.0000  2 Tl 2.58
Tl  0.0000  0.0000  0.0000  4 P 2.58, 2 S 2.58
Cu  0.5000  0.5000  0.5000  4 S 3.64, 8 P 3.65
P  0.0000  0.5000  0.0000  2 Tl 2.58
S  0.0000  0.0000  0.5000  2 Tl 2.58

---

Energies relative to the most stable structure are (i) 0; (ii) 920, reported in meV per atom.

---

(i)
A relaxed VCuPS2 crystal, computed with PBE-GGA.

abc: 4.4987 4.4987 4.6205
angles: 90.00 90.00 90.00
With the nearest neighbours (Å) after each atom.
Atoms (fractional coordinates):
Cu  0.5000  0.5000  0.5000  4 P 3.18, 8 S 3.22
S  0.5000  0.0000  0.0000  2 V 2.25
V  0.0000  0.0000  0.0000  4 S 2.25, 2 P 2.31
S  0.0000  0.5000  0.0000  2 V 2.25
P  0.0000  0.0000  0.5000  2 V 2.31

---

(ii)
A relaxed VCuPS2 crystal, computed with PBE-GGA.

abc: 4.5517 4.5517 4.3679
angles: 90.00 90.00 90.00
With the nearest neighbours (Å) after each atom.
Atoms (fractional coordinates):
P  0.0000  0.0000  0.5000  2 Cu 2.18
Cu  0.0000  0.0000  0.0000  2 P 2.18, 4 S 2.28
S  0.5000  0.0000  0.0000  2 Cu 2.28
V  0.5000  0.5000  0.5000  8 S 3.15, 4 P 3.22
S  0.0000  0.5000  0.0000  2 Cu 2.28

---

Energies relative to the most stable structure are (i) 0; (ii) 366, reported in meV per atom.

---

(i)
A relaxed VCuP2S crystal, computed with PBE-GGA.

abc: 4.5610 4.5610 4.4383
angles: 90.00 90.00 90.00
With the nearest neighbours (Å) after each atom.
Atoms (fractional coordinates):
V  0.0000  0.0000  0.0000  2 S 2.22, 4 P 2.28
P  0.5000  0.0000  0.0000  2 V 2.28
Cu  0.5000  0.5000  0.5000  8 P 3.18, 4 S 3.23
S  0.0000  0.0000  0.5000  2 V 2.22
P  0.0000  0.5000  0.0000  2 V 2.28

---

(ii)
A relaxed VCuP2S crystal, computed with PBE-GGA.

abc: 4.3909 4.3909 4.6581
angles: 90.00 90.00 90.00
With the nearest neighbours (Å) after each atom.
Atoms (fractional coordinates):
P  0.0000  0.5000  0.0000  2 Cu 2.20
V  0.5000  0.5000  0.5000  4 S 3.10, 8 P 3.20
Cu  0.0000  0.0000  0.0000  4 P 2.20, 2 S 2.33
P  0.5000  0.0000  0.0000  2 Cu 2.20
S  0.0000  0.0000  0.5000  2 Cu 2.33

---

Energies relative to the most stable structure are (i) 0; (ii) 360, reported in meV per atom.

---

(i)
A relaxed CuP2WS crystal, computed with PBE-GGA.

abc: 4.3590 4.3590 4.3667
angles: 90.00 90.00 90.00
With the nearest neighbours (Å) after each atom.
Atoms (fractional coordinates):
Cu  0.0000  0.0000  0.0000  4 P 2.18, 2 S 2.18
S  0.0000  0.0000  0.5000  2 Cu 2.18
P  0.0000  0.5000  0.0000  2 Cu 2.18
W  0.5000  0.5000  0.5000  4 S 3.08, 8 P 3.09
P  0.5000  0.0000  0.0000  2 Cu 2.18

---

(ii)
A relaxed CuP2WS crystal, computed with PBE-GGA.

abc: 4.7563 4.7563 4.5662
angles: 90.00 90.00 90.00
With the nearest neighbours (Å) after each atom.
Atoms (fractional coordinates):
W  0.0000  0.0000  0.0000  2 S 2.28, 4 P 2.38
S  0.0000  0.0000  0.5000  2 W 2.28
P  0.5000  0.0000  0.0000  2 W 2.38
P  0.0000  0.5000  0.0000  2 W 2.38
Cu  0.5000  0.5000  0.5000  8 P 3.30, 4 S 3.36

---

Energies relative to the most stable structure are (i) 626; (ii) 0, reported in meV per atom.